Model P:
## PbWNF2 (PBE with a Hubbard U)

Data for an optimized crystal structure of PbWNF2.

Results
* space-group type: P4/mmm
* total magnetization: 2.42 Bohr magnetons per cell

a = 4.355 Å, b = 4.355 Å, c = 4.143 Å
α = 90.00°, β = 90.00°, γ = 90.00°
Fractional positions:
Pb1 0.000 0.000 0.000
W1 0.500 0.500 0.500
N1 0.500 0.500 0.000
F1 0.000 0.500 0.500
F2 0.500 0.000 0.500

Model Q:
## PbWNF2 (PBE with a Hubbard U)

Data for an optimized crystal structure of PbWNF2.

Results
* space-group type: P4/mmm
* total magnetization: 4.11 Bohr magnetons per cell

a = 4.481 Å, b = 4.481 Å, c = 4.574 Å
α = 90.00°, β = 90.00°, γ = 90.00°
Fractional positions:
Pb1 0.000 0.000 0.000
W1 0.500 0.500 0.500
N1 0.000 0.000 0.500
F1 0.000 0.500 0.000
F2 0.500 0.000 0.000

Most stable pick: model P. Distance to second place: 972 meV/atom.